Computed, not measured: a geometry-optimized TbNbCd2O6 structure at the PBE level of DFT.

Summary:
As for the total energy: -68.4 eV/cell. As for the crystal system: trigonal. Its space group is R3, No. 146. As for the magnetic moment: 0.00 μB/f.u.

Unit cell a=5.944 b=5.944 c=5.944 alpha=57.05 beta=57.05 gamma=57.05
Positions (direct):
Tb  0.000  0.000  0.000
Nb  0.499  0.499  0.499
Cd  0.280  0.280  0.280
Cd  0.770  0.770  0.770
O  0.138  0.698  0.377
O  0.241  0.609  0.840
O  0.377  0.138  0.698
O  0.609  0.840  0.241
O  0.698  0.377  0.138
O  0.840  0.241  0.609